DFT (PBE) results for LaMgCd4 after structural relaxation.

CIF file:
```
data_LaMgCd4
_cell_length_a 5.964
_cell_length_b 5.964
_cell_length_c 5.964
_cell_angle_alpha 60.00
_cell_angle_beta 60.00
_cell_angle_gamma 60.00
_space_group_name_H-M_alt 'P 1'
_space_group_IT_number 1
_space_group_name_Hall 'P 1'
loop_
_atom_site_label
_atom_site_type_symbol
_atom_site_fract_x
_atom_site_fract_y
_atom_site_fract_z
La1 La 0.250 0.250 0.250
Cd1 Cd 0.125 0.625 0.625
Cd2 Cd 0.625 0.625 0.625
Cd3 Cd 0.625 0.125 0.625
Cd4 Cd 0.625 0.625 0.125
Mg1 Mg 0.000 0.000 0.000
```

Its energy above the most stable polymorph in this dataset is 80 meV per atom. As for the spin magnetization: 0.00 Bohr magnetons per cell. Its electronic total energy is -11.3 eV for the cell shown. Its calculated volume is 149.97 Å³/cell. The density of states at the Fermi level comes out at 2.4 states/eV/f.u. The energy relative to the elements comes out at -182 meV per atom.


DFT (PBE) results for La2MgCd3 after structural relaxation.

CIF file:
```
data_La2MgCd3
_cell_length_a 6.250
_cell_length_b 6.250
_cell_length_c 9.641
_cell_angle_alpha 101.58
_cell_angle_beta 101.58
_cell_angle_gamma 112.37
_space_group_name_H-M_alt 'P 1'
_space_group_IT_number 1
_space_group_name_Hall 'P 1'
loop_
_atom_site_label
_atom_site_type_symbol
_atom_site_fract_x
_atom_site_fract_y
_atom_site_fract_z
La1 La 0.750 0.250 0.500
La2 La 0.757 0.757 0.000
La3 La 0.243 0.243 0.000
La4 La 0.250 0.750 0.500
Cd1 Cd 0.169 0.664 0.833
Cd2 Cd 0.832 0.832 0.664
Cd3 Cd 0.336 0.831 0.167
Cd4 Cd 0.831 0.336 0.167
Cd5 Cd 0.168 0.168 0.336
Cd6 Cd 0.664 0.169 0.833
Mg1 Mg 0.667 0.667 0.333
Mg2 Mg 0.333 0.333 0.667
```

As for the spin magnetization: 0.00 Bohr magnetons per cell. Its electronic total energy is -32.3 eV for the cell shown. Its calculated volume is 324.78 Å³/cell. The density of states at the Fermi level comes out at 4.6 states/eV/f.u. The energy relative to the elements comes out at -324 meV per atom.


DFT (PBE) results for La15MgCd4 after structural relaxation.

CIF file:
```
data_La15MgCd4
_cell_length_a 5.088
_cell_length_b 5.088
_cell_length_c 25.318
_cell_angle_alpha 90.00
_cell_angle_beta 90.00
_cell_angle_gamma 90.00
_space_group_name_H-M_alt 'P 1'
_space_group_IT_number 1
_space_group_name_Hall 'P 1'
loop_
_atom_site_label
_atom_site_type_symbol
_atom_site_fract_x
_atom_site_fract_y
_atom_site_fract_z
La1 La 0.500 0.000 0.301
La2 La 0.000 0.500 0.899
La3 La 0.500 0.000 0.899
La4 La 0.500 0.000 0.500
La5 La 0.500 0.500 0.000
La6 La 0.500 0.000 0.101
La7 La 0.500 0.500 0.400
La8 La 0.500 0.500 0.201
La9 La 0.000 0.500 0.699
La10 La 0.500 0.500 0.600
La11 La 0.000 0.500 0.301
La12 La 0.000 0.500 0.101
La13 La 0.000 0.500 0.500
La14 La 0.500 0.000 0.699
La15 La 0.500 0.500 0.799
Cd1 Cd 0.000 0.000 0.600
Cd2 Cd 0.000 0.000 0.400
Cd3 Cd 0.000 0.000 0.799
Cd4 Cd 0.000 0.000 0.201
Mg1 Mg 0.000 0.000 0.000
```

As for the spin magnetization: 0.00 Bohr magnetons per cell. Its electronic total energy is -81.3 eV for the cell shown. Its calculated volume is 655.55 Å³/cell. The density of states at the Fermi level comes out at 31.4 states/eV/f.u. The energy relative to the elements comes out at -108 meV per atom.


DFT (PBE) results for LaMgCd4 after structural relaxation.

CIF file:
```
data_LaMgCd4
_cell_length_a 4.729
_cell_length_b 8.098
_cell_length_c 7.905
_cell_angle_alpha 90.00
_cell_angle_beta 90.00
_cell_angle_gamma 90.00
_space_group_name_H-M_alt 'P 1'
_space_group_IT_number 1
_space_group_name_Hall 'P 1'
loop_
_atom_site_label
_atom_site_type_symbol
_atom_site_fract_x
_atom_site_fract_y
_atom_site_fract_z
Cd1 Cd 0.500 0.676 0.445
Cd2 Cd 0.000 0.000 0.000
Cd3 Cd 0.500 0.324 0.945
Cd4 Cd 0.000 0.000 0.500
Cd5 Cd 0.500 0.676 0.055
Cd6 Cd 0.500 0.062 0.250
Cd7 Cd 0.500 0.938 0.750
Cd8 Cd 0.500 0.324 0.555
Mg1 Mg 0.000 0.763 0.250
Mg2 Mg 0.000 0.237 0.750
La1 La 0.000 0.640 0.750
La2 La 0.000 0.360 0.250
```

Its energy above the most stable polymorph in this dataset is 75 meV per atom. As for the spin magnetization: 0.00 Bohr magnetons per cell. Its electronic total energy is -22.6 eV for the cell shown. Its calculated volume is 302.74 Å³/cell. The density of states at the Fermi level comes out at 3.0 states/eV/f.u. The energy relative to the elements comes out at -188 meV per atom.


DFT (PBE) results for LaMg12Cd6 after structural relaxation.

CIF file:
```
data_LaMg12Cd6
_cell_length_a 8.067
_cell_length_b 8.067
_cell_length_c 8.067
_cell_angle_alpha 104.39
_cell_angle_beta 104.39
_cell_angle_gamma 104.39
_space_group_name_H-M_alt 'P 1'
_space_group_IT_number 1
_space_group_name_Hall 'P 1'
loop_
_atom_site_label
_atom_site_type_symbol
_atom_site_fract_x
_atom_site_fract_y
_atom_site_fract_z
Mg1 Mg 0.887 0.113 0.500
Mg2 Mg 0.113 0.500 0.887
Mg3 Mg 0.113 0.887 0.500
Mg4 Mg 0.599 0.851 0.599
Mg5 Mg 0.401 0.401 0.149
Mg6 Mg 0.500 0.887 0.113
Mg7 Mg 0.149 0.401 0.401
Mg8 Mg 0.851 0.599 0.599
Mg9 Mg 0.599 0.599 0.851
Mg10 Mg 0.500 0.113 0.887
Mg11 Mg 0.887 0.500 0.113
Mg12 Mg 0.401 0.149 0.401
Cd1 Cd 0.274 0.274 0.716
Cd2 Cd 0.726 0.284 0.726
Cd3 Cd 0.726 0.726 0.284
Cd4 Cd 0.274 0.716 0.274
Cd5 Cd 0.716 0.274 0.274
Cd6 Cd 0.284 0.726 0.726
La1 La 0.000 0.000 0.000
```

As for the spin magnetization: 0.00 Bohr magnetons per cell. Its electronic total energy is -29.7 eV for the cell shown. Its calculated volume is 464.76 Å³/cell. The density of states at the Fermi level comes out at 7.1 states/eV/f.u. The energy relative to the elements comes out at -7 meV per atom.


DFT (PBE) results for La2Mg6Cd after structural relaxation.

CIF file:
```
data_La2Mg6Cd
_cell_length_a 6.617
_cell_length_b 6.301
_cell_length_c 6.845
_cell_angle_alpha 85.43
_cell_angle_beta 90.00
_cell_angle_gamma 121.67
_space_group_name_H-M_alt 'P 1'
_space_group_IT_number 1
_space_group_name_Hall 'P 1'
loop_
_atom_site_label
_atom_site_type_symbol
_atom_site_fract_x
_atom_site_fract_y
_atom_site_fract_z
Mg1 Mg 0.847 0.693 0.686
Mg2 Mg 0.369 0.205 0.656
Mg3 Mg 0.631 0.795 0.344
Mg4 Mg 0.153 0.307 0.314
Mg5 Mg 0.836 0.205 0.656
Mg6 Mg 0.164 0.795 0.344
La1 La 0.338 0.677 0.870
La2 La 0.662 0.323 0.130
Cd1 Cd 0.000 0.000 0.000
```

As for the spin magnetization: 0.01 Bohr magnetons per cell. Its electronic total energy is -21.2 eV for the cell shown. Its calculated volume is 241.81 Å³/cell. The density of states at the Fermi level comes out at 8.8 states/eV/f.u. The energy relative to the elements comes out at -95 meV per atom.


DFT (PBE) results for LaMg2Cd6 after structural relaxation.

CIF file:
```
data_LaMg2Cd6
_cell_length_a 9.179
_cell_length_b 9.179
_cell_length_c 9.179
_cell_angle_alpha 60.00
_cell_angle_beta 60.00
_cell_angle_gamma 60.00
_space_group_name_H-M_alt 'P 1'
_space_group_IT_number 1
_space_group_name_Hall 'P 1'
loop_
_atom_site_label
_atom_site_type_symbol
_atom_site_fract_x
_atom_site_fract_y
_atom_site_fract_z
Cd1 Cd 0.253 0.747 0.747
Cd2 Cd 0.747 0.747 0.253
Cd3 Cd 0.747 0.253 0.253
Cd4 Cd 0.747 0.253 0.747
Cd5 Cd 0.253 0.747 0.253
Cd6 Cd 0.997 0.503 0.503
Cd7 Cd 0.503 0.997 0.503
Cd8 Cd 0.503 0.997 0.997
Cd9 Cd 0.503 0.503 0.997
Cd10 Cd 0.253 0.253 0.747
Cd11 Cd 0.997 0.997 0.503
Cd12 Cd 0.997 0.503 0.997
Mg1 Mg 0.125 0.625 0.125
Mg2 Mg 0.125 0.125 0.625
Mg3 Mg 0.125 0.125 0.125
Mg4 Mg 0.625 0.125 0.125
La1 La 0.750 0.750 0.750
La2 La 0.500 0.500 0.500
```

Its energy above the most stable polymorph in this dataset is 379 meV per atom. As for the spin magnetization: 0.00 Bohr magnetons per cell. Its electronic total energy is -22.9 eV for the cell shown. Its calculated volume is 546.82 Å³/cell. The density of states at the Fermi level comes out at 6.8 states/eV/f.u. The energy relative to the elements comes out at 238 meV per atom.


DFT (PBE) results for La6MgCd3 after structural relaxation.

CIF file:
```
data_La6MgCd3
_cell_length_a 5.600
_cell_length_b 9.615
_cell_length_c 12.367
_cell_angle_alpha 109.76
_cell_angle_beta 90.00
_cell_angle_gamma 90.00
_space_group_name_H-M_alt 'P 1'
_space_group_IT_number 1
_space_group_name_Hall 'P 1'
loop_
_atom_site_label
_atom_site_type_symbol
_atom_site_fract_x
_atom_site_fract_y
_atom_site_fract_z
Cd1 Cd 0.750 0.623 0.219
Cd2 Cd 0.750 0.454 0.625
Cd3 Cd 0.750 0.238 0.025
Cd4 Cd 0.250 0.546 0.375
Cd5 Cd 0.250 0.762 0.975
Cd6 Cd 0.250 0.377 0.781
La1 La 0.750 0.734 0.503
La2 La 0.250 0.463 0.085
La3 La 0.250 0.841 0.291
La4 La 0.250 0.079 0.872
La5 La 0.250 0.654 0.676
La6 La 0.250 0.266 0.497
La7 La 0.750 0.346 0.324
La8 La 0.750 0.159 0.709
La9 La 0.250 0.128 0.147
La10 La 0.750 0.537 0.915
La11 La 0.750 0.921 0.128
La12 La 0.750 0.872 0.853
Mg1 Mg 0.750 0.041 0.420
Mg2 Mg 0.250 0.959 0.580
```

As for the spin magnetization: 0.00 Bohr magnetons per cell. Its electronic total energy is -71.8 eV for the cell shown. Its calculated volume is 626.73 Å³/cell. The density of states at the Fermi level comes out at 11.4 states/eV/f.u. The energy relative to the elements comes out at -199 meV per atom.